Compound: K2Tl6CdIn
Source: Alexandria
Functional: GGA-PBE
Structure: relaxed

Lattice parameters (Å, degrees): 7.9415 7.9415 41.1117 90.00 90.00 120.00
Space group R-3m (No. 166, hexagonal axes)
One atom of each set of equivalent atoms:
K  0.0000  0.0000  0.1357
K  0.0000  0.0000  0.3069
Tl  0.0505  0.5252  0.8775
Tl  0.0574  0.5287  0.7237
Cd  0.0000  0.0000  0.0000
Cd  0.0000  0.0000  0.5000
In  0.0000  0.0000  0.4170

Values from the calculation:
Energy of formation = 0.039 eV per atom
D(E_F) = 0.57 states/eV per atom